A geometry-optimized TbCrF5 structure, computed with PBE with a Hubbard U.

a b c (Å): 5.792 5.792 7.411
angles (deg): 72.61 72.61 78.00
Each line ends with the local moment (μB).
Positions (direct):
F 0.341 0.683 0.038  0.01
F 0.725 0.800 0.628  0.00
F 0.317 0.659 0.462  0.01
F 0.275 0.200 0.372  0.00
F 0.125 0.875 0.750  0.00
F 0.200 0.275 0.872  0.00
F 0.875 0.125 0.250  0.00
F 0.659 0.317 0.962  0.01
F 0.800 0.725 0.128  0.00
F 0.683 0.341 0.538  0.01
Tb 0.444 0.556 0.750  0.01
Tb 0.556 0.444 0.250  0.01
Cr 0.000 0.000 0.000  3.81
Cr 0.000 0.000 0.500  3.81

Values from the calculation:
Total DFT energy (no corrections) ... -6.528 eV/atom
Excess energy over the best structure of this formula in the dataset ... 0 meV per atom
Magnetic moment ... 8.00 μB/cell